(one)
Density functional theory data (GGA-PBE) for a relaxed HfFeTc crystal.

Calculated values
The symmetry is Cmcm (63).

Unit cell a=3.2263 b=4.3695 c=6.8452 alpha=90.00 beta=103.63 gamma=90.00
With the nearest neighbours (Å) after each atom.
Fractional positions:
Fe 0.2430 0.2500 0.4861  2 Tc 2.58, 4 Fe 2.72, 2 Hf 2.76
Fe 0.7570 0.7500 0.5139  2 Tc 2.58, 4 Fe 2.72, 2 Hf 2.76
Tc 0.5920 0.2500 0.1840  2 Fe 2.58, 4 Hf 2.72
Tc 0.4080 0.7500 0.8160  2 Fe 2.58, 4 Hf 2.72
Hf 0.9113 0.2500 0.8227  6 Tc 2.72-2.90, 4 Fe 2.76-3.00
Hf 0.0887 0.7500 0.1773  6 Tc 2.72-2.90, 4 Fe 2.76-3.00


(two)
Density functional theory data (GGA-PBE) for a relaxed HfFeTc crystal.

Calculated values
The symmetry is Imma (74).

Unit cell a=4.9967 b=5.1386 c=5.1386 alpha=59.55 beta=60.91 gamma=60.91
With the nearest neighbours (Å) after each atom.
Fractional positions:
Tc 0.5000 0.5000 0.0000  2 Tc 2.55, 4 Fe 2.57
Tc 0.5000 0.0000 0.5000  2 Tc 2.55, 4 Fe 2.57
Fe 0.0000 0.0000 0.0000  2 Fe 2.50, 4 Tc 2.57
Fe 0.5000 0.0000 0.0000  2 Fe 2.50, 4 Tc 2.57
Hf 0.1245 0.6255 0.6255  6 Tc 2.95-3.05, 6 Fe 2.99-3.04, 4 Hf 3.11-3.15
Hf 0.8755 0.3745 0.3745  6 Tc 2.95-3.05, 6 Fe 2.99-3.04, 4 Hf 3.11-3.15


Stability summary: most stable (two), least stable (one).